Entry 1:
A plane-wave DFT calculation with GGA-PBE was carried out for a relaxed structure of DyNi5Ge2.

Cell: 3.6433 6.6912 9.2843 Å, 90.00 90.00 90.00°
Space group Immm (No. 71)
Symmetry-distinct sites (fractional):
Dy: 0.0000 0.0000 0.0000 [2 per cell]
Ni: 0.0000 0.1874 0.3602 [8 per cell]
Ni: 0.0000 0.5000 0.0000 [2 per cell]
Ge: 0.0000 0.5000 0.2496 [4 per cell]

## Properties
The crystal system is orthorhombic. The total energy comes out at -5.786 eV/atom. The total moment is 0.0 μB/cell.



Entry 2:
A plane-wave DFT calculation with GGA-PBE was carried out for a relaxed structure of PmEr2Rh.

Cell: 3.7729 12.1218 9.3826 Å, 90.00 90.00 90.00°
Space group Cmcm (No. 63)
Symmetry-distinct sites (fractional):
Pm: 0.0000 0.0731 0.2500 [4 per cell]
Er: 0.0000 0.3598 0.0678 [8 per cell]
Rh: 0.0000 0.2422 0.7500 [4 per cell]

## Properties
The crystal system is orthorhombic. The value obtained for the distance to the lowest polymorph of the same formula is 28 meV per atom. The total moment is 0.0 μB/cell.



Entry 3:
A plane-wave DFT calculation with GGA-PBE was carried out for a relaxed structure of HfTi5H6.

Cell: 5.2303 8.9337 5.2194 Å, 90.00 110.36 90.00°
Space group C2/m (No. 12)
Symmetry-distinct sites (fractional):
Hf: 0.0000 0.0000 0.0000 [2 per cell]
Ti: 0.0000 0.1689 0.5000 [4 per cell]
Ti: 0.0000 0.3340 0.0000 [4 per cell]
Ti: 0.0000 0.5000 0.5000 [2 per cell]
H: 0.2439 0.3297 0.7395 [8 per cell]
H: 0.2449 0.5000 0.2579 [4 per cell]

## Properties
The crystal system is monoclinic. The total energy comes out at -6.106 eV/atom. The total moment is 0.0 μB/cell.



Entry 4:
A plane-wave DFT calculation with GGA-PBE was carried out for a relaxed structure of TaNiPt3.

Cell: 4.4860 4.4860 4.4860 Å, 90.00 90.00 90.00°
Space group Pm-3m (No. 221)
Symmetry-distinct sites (fractional):
Ta: 0.0000 0.0000 0.0000 [1 per cell]
Ni: 0.5000 0.5000 0.5000 [1 per cell]
Pt: 0.0000 0.5000 0.5000 [3 per cell]

## Properties
The crystal system is cubic. The value obtained for the distance to the lowest polymorph of the same formula is 1448 meV per atom. The total moment is 0.0 μB/cell.